# 1
GGA-PBE SrBeReTc, relaxed; excess energy over the best structure of this formula in the dataset = 0.027 eV/atom
1.0
0.0000 3.2304 3.2304
3.2304 0.0000 3.2304
3.2304 3.2304 0.0000
Sr Be Re Tc
1 1 1 1
direct
0.0000 0.0000 0.0000 Sr
0.2500 0.2500 0.2500 Be
0.7500 0.7500 0.7500 Re
0.5000 0.5000 0.5000 Tc

---

# 2
GGA-PBE SrBeReTc, relaxed; excess energy over the best structure of this formula in the dataset = 0.000 eV/atom
1.0
0.0000 3.2275 3.2275
3.2275 0.0000 3.2275
3.2275 3.2275 0.0000
Sr Be Re Tc
1 1 1 1
direct
0.0000 0.0000 0.0000 Sr
0.2500 0.2500 0.2500 Be
0.5000 0.5000 0.5000 Re
0.7500 0.7500 0.7500 Tc

---

# 3
GGA-PBE SrBeReTc, relaxed; excess energy over the best structure of this formula in the dataset = 0.571 eV/atom
1.0
0.0000 3.1993 3.1993
3.1993 0.0000 3.1993
3.1993 3.1993 0.0000
Sr Be Re Tc
1 1 1 1
direct
0.0000 0.0000 0.0000 Sr
0.5000 0.5000 0.5000 Be
0.2500 0.2500 0.2500 Re
0.7500 0.7500 0.7500 Tc

---

# 4
This record from OQMD describes a geometry-optimized TaBeRe2 structure. The functional is GGA-PBE.

The structure in POSCAR format:
```
TaBeRe2
1.0
0.0000 3.0718 3.0718
3.0718 0.0000 3.0718
3.0718 3.0718 0.0000
Ta Be Re
1 1 2
direct
0.0000 0.0000 0.0000 Ta
0.7500 0.7500 0.7500 Be
0.2500 0.2500 0.2500 Re
0.5000 0.5000 0.5000 Re
```

---

# 5
GGA-PBE TaBeRe, relaxed; excess energy over the best structure of this formula in the dataset = 0.000 eV/atom
1.0
0.0000 2.8062 2.8062
2.8062 0.0000 2.8062
2.8062 2.8062 0.0000
Ta Be Re
1 1 1
direct
0.0000 0.0000 0.0000 Ta
0.7500 0.7500 0.7500 Be
0.5000 0.5000 0.5000 Re

---

# 6
This record from OQMD describes a geometry-optimized Be2ReTc structure. The functional is GGA-PBE.

The structure in POSCAR format:
```
Be2ReTc
1.0
0.0000 2.8892 2.8892
2.8892 0.0000 2.8892
2.8892 2.8892 0.0000
Be Re Tc
2 1 1
direct
0.0000 0.0000 0.0000 Be
0.2500 0.2500 0.2500 Be
0.7500 0.7500 0.7500 Re
0.5000 0.5000 0.5000 Tc
```

---

# 7
GGA-PBE BeZnReTc, relaxed; excess energy over the best structure of this formula in the dataset = 0.000 eV/atom
1.0
0.0000 2.9729 2.9729
2.9729 0.0000 2.9729
2.9729 2.9729 0.0000
Be Zn Re Tc
1 1 1 1
direct
0.0000 0.0000 0.0000 Be
0.7500 0.7500 0.7500 Zn
0.2500 0.2500 0.2500 Re
0.5000 0.5000 0.5000 Tc

---

# 8
GGA-PBE BeZnReTc, relaxed; excess energy over the best structure of this formula in the dataset = 0.296 eV/atom
1.0
0.0000 2.9453 2.9453
2.9453 0.0000 2.9453
2.9453 2.9453 0.0000
Be Zn Re Tc
1 1 1 1
direct
0.0000 0.0000 0.0000 Be
0.5000 0.5000 0.5000 Zn
0.7500 0.7500 0.7500 Re
0.2500 0.2500 0.2500 Tc

---

Energy in eV per atom, matching the order above: -6.1476, -6.1749, -5.6041, -9.9918, -9.0252, -7.6232, -6.8823, -6.5864
Spin magnetization in μB per cell, matching the order above: 0.00, 0.00, 0.82, 0.00, 0.00, 0.00, 0.00, 0.01
V in Å³ per cell, matching the order above: 67, 67, 65, 58, 44, 48, 53, 51